(1)
Entry from Alexandria: Tb5YAl4 after structural relaxation (PBE-GGA).

Calculated values
The space group is No. 123. As for the energy of formation: -309 meV/atom.

abc: 3.5939 3.5939 19.7508
angles: 90.00 90.00 90.00
Last column: nearest neighbours and their distance in Å.
Atoms (fractional coordinates):
Tb: 0.5000 0.5000 0.1286  4 Al 3.13
Tb: 0.5000 0.5000 0.3147  8 Al 3.13-3.14
Tb: 0.5000 0.5000 0.5000  8 Al 3.13
Tb: 0.5000 0.5000 0.6853  8 Al 3.13-3.14
Tb: 0.5000 0.5000 0.8714  4 Al 3.13
Y: 0.0000 0.0000 0.0000  8 Tb 3.59, 4 Y 3.59
Al: 0.0000 0.0000 0.2211  8 Tb 3.13-3.14
Al: 0.0000 0.0000 0.4073  8 Tb 3.13
Al: 0.0000 0.0000 0.5927  8 Tb 3.13
Al: 0.0000 0.0000 0.7789  8 Tb 3.13-3.14

---

(2)
Entry from Alexandria: Ba5MgTl2 after structural relaxation (PBE-GGA).

Calculated values
The space group is No. 140. As for the energy of formation: -210 meV/atom.

abc: 9.7785 9.7785 10.4947
angles: 117.77 117.77 90.00
Last column: nearest neighbours and their distance in Å.
Atoms (fractional coordinates):
Ba: 0.5231 0.6961 0.7191  3 Tl 3.62-3.64, 2 Mg 4.05
Ba: 0.8039 0.9769 0.2809  3 Tl 3.62-3.64, 2 Mg 4.05
Ba: 0.0000 0.0000 0.0000  4 Tl 3.85, 2 Mg 3.95, 8 Ba 4.28
Ba: 0.5000 0.5000 0.0000  4 Tl 3.85, 2 Mg 3.95, 8 Ba 4.28
Ba: 0.1961 0.0231 0.7191  3 Tl 3.62-3.64, 2 Mg 4.05
Ba: 0.6961 0.1961 0.7191  3 Tl 3.62-3.64, 2 Mg 4.05
Ba: 0.0231 0.5231 0.7191  3 Tl 3.62-3.64, 2 Mg 4.05
Ba: 0.3039 0.8039 0.2809  3 Tl 3.62-3.64, 2 Mg 4.05
Ba: 0.9769 0.4769 0.2809  3 Tl 3.62-3.64, 2 Mg 4.05
Ba: 0.4769 0.3039 0.2809  3 Tl 3.62-3.64, 2 Mg 4.05
Mg: 0.7500 0.7500 0.5000  10 Ba 3.95-4.05
Mg: 0.2500 0.2500 0.5000  10 Ba 3.95-4.05
Tl: 0.1274 0.3726 0.0000  1 Tl 3.52, 8 Ba 3.62-3.85
Tl: 0.6274 0.1274 0.0000  1 Tl 3.52, 8 Ba 3.62-3.85
Tl: 0.3726 0.8726 0.0000  1 Tl 3.52, 8 Ba 3.62-3.85
Tl: 0.8726 0.6274 0.0000  1 Tl 3.52, 8 Ba 3.62-3.85

---

(3)
Entry from Alexandria: CsBa2ZnPd after structural relaxation (PBE-GGA).

Calculated values
The space group is No. 123. As for the energy of formation: -89 meV/atom.

abc: 6.3171 6.3171 5.2804
angles: 90.00 90.00 90.00
Last column: nearest neighbours and their distance in Å.
Atoms (fractional coordinates):
Cs: 0.5000 0.5000 0.5000  8 Ba 4.12, 4 Zn 4.47
Zn: 0.0000 0.0000 0.5000  2 Pd 2.64
Ba: 0.0000 0.5000 0.0000  2 Pd 3.16
Ba: 0.5000 0.0000 0.0000  2 Pd 3.16
Pd: 0.0000 0.0000 0.0000  2 Zn 2.64